Entry from Alexandria: a relaxed CsWF2 crystal (PBE with a Hubbard U).

Calculated values
As for the density of states at the Fermi level: 2.2 states/eV/cell. For the offset from the most stable computed form, the calculation gives 293 meV/atom.

POSCAR file:
```
CsWF2
1.0
7.143 0.000 0.000
0.000 7.143 0.000
3.572 3.572 4.008
Cs W F
2 2 4
Direct
0.500 0.500 0.000
0.250 0.750 0.500
0.000 0.000 0.000
0.750 0.250 0.500
0.699 0.125 0.250
0.051 0.625 0.250
0.375 0.301 0.750
0.875 0.949 0.750
```